{
  "formula": "LaSmNi2B2Pt6",
  "functional": "GGA-PBE",
  "state": "optimized geometry",
  "relative_energy_ev_per_atom": 0.034,
  "energy_ev_per_fu": -78.85,
  "density_g_cm3": 13.88,
  "total_magnetization_mub_per_fu": 0.0,
  "cell": [[5.470, 0.000, 0.000], [-2.735, 4.738, 0.000], [0.000, 0.000, 7.378]],
  "species": ["La", "Sm", "Ni", "Ni", "B", "B", "Pt", "Pt", "Pt", "Pt", "Pt", "Pt"],
  "fractional_positions": [[0.000, 0.000, 0.000], [0.000, 0.000, 0.500], [0.333, 0.667, 0.500], [0.667, 0.333, 0.500], [0.333, 0.667, 0.000], [0.667, 0.333, 0.000], [0.000, 0.500, 0.214], [0.000, 0.500, 0.786], [0.500, 0.000, 0.214], [0.500, 0.000, 0.786], [0.500, 0.500, 0.214], [0.500, 0.500, 0.786]]
}